(1)
## LiHgO (PBE)

Data for LiHgO after structural relaxation.

Unit cell a=3.5579 b=5.7563 c=5.8721 alpha=80.81 beta=72.46 gamma=89.38
With the nearest neighbours (Å) after each atom.
Positions (direct):
Li 0.3189 0.5458 0.8599  3 O 1.88-1.95
Li 0.6811 0.4542 0.1401  3 O 1.88-1.95
Hg 0.9520 0.1909 0.5975  1 O 2.09
Hg 0.0480 0.8091 0.4025  1 O 2.09
O 0.8553 0.4729 0.7894  3 Li 1.88-1.95, 1 Hg 2.09
O 0.1448 0.5271 0.2106  3 Li 1.88-1.95, 1 Hg 2.09

The crystal system is triclinic. The symmetry is P-1, No. 2.



(2)
## BaHoZn (PBE)

Data for BaHoZn after structural relaxation.

Unit cell a=5.3439 b=5.3439 c=5.3439 alpha=60.00 beta=60.00 gamma=60.00
With the nearest neighbours (Å) after each atom.
Positions (direct):
Ho 0.7500 0.7500 0.7500  4 Zn 3.27
Ba 0.2500 0.2500 0.2500  4 Zn 3.27
Zn 0.0000 0.0000 0.0000  4 Ho 3.27, 4 Ba 3.27

The crystal system is cubic. The symmetry is F-43m, No. 216.



(3)
## ReBiMo (PBE)

Data for ReBiMo after structural relaxation.

Unit cell a=4.4551 b=4.4551 c=4.4551 alpha=60.00 beta=60.00 gamma=60.00
With the nearest neighbours (Å) after each atom.
Positions (direct):
Bi 0.2500 0.2500 0.2500  4 Re 2.73
Mo 0.7500 0.7500 0.7500  4 Re 2.73
Re 0.0000 0.0000 0.0000  4 Mo 2.73, 4 Bi 2.73

The crystal system is cubic. The symmetry is F-43m, No. 216.



(4)
## NdGdTe2As2 (PBE)

Data for NdGdTe2As2 after structural relaxation.

Unit cell a=4.1382 b=4.1382 c=9.2484 alpha=90.00 beta=90.00 gamma=90.00
With the nearest neighbours (Å) after each atom.
Positions (direct):
As 0.5000 0.0000 0.9959  4 As 2.93, 2 Gd 3.11, 2 Nd 3.16
As 0.0000 0.5000 0.9959  4 As 2.93, 2 Gd 3.11, 2 Nd 3.16
Te 0.5000 0.5000 0.6287  4 Gd 3.12, 1 Nd 3.46
Te 0.0000 0.0000 0.3800  4 Nd 3.15, 1 Gd 3.38
Nd 0.5000 0.5000 0.2541  5 Te 3.15-3.46, 4 As 3.16
Gd 0.0000 0.0000 0.7454  4 As 3.11, 5 Te 3.12-3.38

The crystal system is tetragonal. The symmetry is P4mm, No. 99.



(5)
## GaCoW4N2 (PBE)

Data for GaCoW4N2 after structural relaxation.

Unit cell a=2.8157 b=2.8157 c=14.5950 alpha=90.00 beta=90.00 gamma=120.00
With the nearest neighbours (Å) after each atom.
Positions (direct):
Co 0.0000 0.0000 0.0000  6 W 2.66, 6 Co 2.82
W 0.0000 0.0000 0.3455  3 N 2.17
W 0.6667 0.3333 0.8557  3 N 2.21
W 0.6667 0.3333 0.1443  3 N 2.21
W 0.0000 0.0000 0.6545  3 N 2.17
Ga 0.6667 0.3333 0.5000  6 W 2.78, 6 Ga 2.82
N 0.3333 0.6667 0.2472  6 W 2.17-2.21
N 0.3333 0.6667 0.7528  6 W 2.17-2.21

The crystal system is hexagonal. The symmetry is P-6m2, No. 187.



(6)
## ZrScCo2 (PBE)

Data for ZrScCo2 after structural relaxation.

Unit cell a=4.4192 b=4.4192 c=4.4192 alpha=60.00 beta=60.00 gamma=60.00
With the nearest neighbours (Å) after each atom.
Positions (direct):
Co 0.7500 0.7500 0.7500  4 Sc 2.71, 4 Co 2.71
Co 0.0000 0.0000 0.0000  4 Zr 2.71, 4 Co 2.71
Sc 0.5000 0.5000 0.5000  4 Zr 2.71, 4 Co 2.71
Zr 0.2500 0.2500 0.2500  4 Co 2.71, 4 Sc 2.71

The crystal system is cubic. The symmetry is F-43m, No. 216. The formation energy is 0.04 eV/atom.



(7)
## AcIr2Pb2 (PBE)

Data for AcIr2Pb2 after structural relaxation.

Unit cell a=6.9113 b=6.9113 c=6.9113 alpha=141.80 beta=141.80 gamma=55.13
With the nearest neighbours (Å) after each atom.
Positions (direct):
Ir 0.4012 0.4012 0.0000  1 Ir 2.42
Ir 0.5988 0.5988 0.0000  1 Ir 2.42
Pb 0.7500 0.2500 0.5000  4 Ir 2.92, 4 Pb 3.20
Pb 0.2500 0.7500 0.5000  4 Ir 2.92, 4 Pb 3.20
Ac 0.0000 0.0000 0.0000  8 Ir 3.42, 8 Pb 3.81

The crystal system is tetragonal. The symmetry is I4/mmm, No. 139.



(8)
## MgCdTeO (PBE)

Data for MgCdTeO after structural relaxation.

Unit cell a=6.2033 b=8.3976 c=6.1066 alpha=90.00 beta=90.00 gamma=90.00
With the nearest neighbours (Å) after each atom.
Positions (direct):
Mg 0.5554 0.3233 0.6253  1 O 1.97
Mg 0.0554 0.6767 0.6253  1 O 1.97
Mg 0.4447 0.6767 0.1253  1 O 1.97
Mg 0.9447 0.3233 0.1253  1 O 1.97
Cd 0.7501 0.9561 0.3751  4 O 2.34
Cd 0.2499 0.0439 0.8751  4 O 2.34
Cd 0.7499 0.9561 0.8751  4 O 2.34
Cd 0.2501 0.0439 0.3751  4 O 2.34
O 0.0289 0.9104 0.6252  1 Mg 1.97
O 0.9711 0.0896 0.1252  1 Mg 1.97
O 0.4711 0.9104 0.1252  1 Mg 1.97
O 0.5289 0.0896 0.6252  1 Mg 1.97
Te 0.4776 0.3362 0.1244  4 Mg 2.87-3.10
Te 0.5224 0.6638 0.6244  4 Mg 2.87-3.10
Te 0.9776 0.6638 0.1244  4 Mg 2.87-3.10
Te 0.0224 0.3362 0.6244  4 Mg 2.87-3.10

The crystal system is orthorhombic. The symmetry is Pbcm, No. 57.



(9)
## Pr2GdAl7Ag2 (PBE)

Data for Pr2GdAl7Ag2 after structural relaxation.

Unit cell a=9.4923 b=9.4923 c=9.4923 alpha=34.62 beta=34.62 gamma=34.62
With the nearest neighbours (Å) after each atom.
Positions (direct):
Al 0.5857 0.5857 0.0744  2 Ag 2.70-2.77, 5 Al 2.76-2.89
Al 0.4143 0.4143 0.9256  2 Ag 2.70-2.77, 5 Al 2.76-2.89
Al 0.9256 0.4143 0.4143  2 Ag 2.70-2.77, 5 Al 2.76-2.89
Al 0.5000 0.5000 0.5000  6 Al 2.81
Al 0.5857 0.0744 0.5857  2 Ag 2.70-2.77, 5 Al 2.76-2.89
Al 0.0744 0.5857 0.5857  2 Ag 2.70-2.77, 5 Al 2.76-2.89
Al 0.4143 0.9256 0.4143  2 Ag 2.70-2.77, 5 Al 2.76-2.89
Pr 0.8584 0.8584 0.8584  12 Al 3.25-3.34, 3 Pr 3.53
Pr 0.1416 0.1416 0.1416  12 Al 3.25-3.34, 3 Pr 3.53
Gd 0.0000 0.0000 0.0000  6 Ag 3.26, 12 Al 3.57
Ag 0.6640 0.6640 0.6640  6 Al 2.70-2.77
Ag 0.3360 0.3360 0.3360  6 Al 2.70-2.77

The crystal system is trigonal. The symmetry is R-3m, No. 166.



(10)
## TcSnSb2 (PBE)

Data for TcSnSb2 after structural relaxation.

Unit cell a=4.9783 b=4.9783 c=4.9783 alpha=60.00 beta=60.00 gamma=60.00
With the nearest neighbours (Å) after each atom.
Positions (direct):
Sn 0.2500 0.2500 0.2500  4 Sb 3.05, 4 Tc 3.05
Sb 0.7500 0.7500 0.7500  4 Tc 3.05, 4 Sb 3.05
Sb 0.5000 0.5000 0.5000  4 Sn 3.05, 4 Sb 3.05
Tc 0.0000 0.0000 0.0000  4 Sb 3.05, 4 Sn 3.05

The crystal system is cubic. The symmetry is F-43m, No. 216.



(11)
## DyLuGe2Os (PBE)

Data for DyLuGe2Os after structural relaxation.

Unit cell a=5.7794 b=5.7794 c=10.0251 alpha=116.02 beta=116.02 gamma=43.49
With the nearest neighbours (Å) after each atom.
Positions (direct):
Dy 0.0059 0.0059 0.6771  6 Ge 2.91-3.11, 4 Os 3.07-3.18
Dy 0.9941 0.9941 0.3229  6 Ge 2.91-3.11, 4 Os 3.07-3.18
Ge 0.4858 0.4858 0.1223  1 Os 2.60, 1 Ge 2.61, 2 Dy 2.91
Ge 0.6428 0.6428 0.5624  3 Os 2.46-2.54, 1 Ge 2.71
Ge 0.3572 0.3572 0.4376  3 Os 2.46-2.54, 1 Ge 2.71
Ge 0.5142 0.5142 0.8777  1 Os 2.60, 1 Ge 2.61, 2 Dy 2.91
Os 0.2705 0.2705 0.6339  4 Ge 2.46-2.60
Os 0.7295 0.7295 0.3661  4 Ge 2.46-2.60
Lu 0.8181 0.8181 0.8851  5 Ge 2.87-3.07, 2 Os 3.16
Lu 0.1819 0.1819 0.1149  5 Ge 2.87-3.07, 2 Os 3.16

The crystal system is monoclinic. The symmetry is C2/m, No. 12.



(12)
## KAuSeO (PBE)

Data for KAuSeO after structural relaxation.

Unit cell a=4.7214 b=6.6199 c=6.5812 alpha=90.00 beta=90.00 gamma=90.00
With the nearest neighbours (Å) after each atom.
Positions (direct):
Se 0.0000 0.8336 0.1001  2 Au 2.55
Se 0.0000 0.1664 0.6001  2 Au 2.55
Au 0.5000 0.9583 0.0210  2 O 2.03-2.06
Au 0.5000 0.0417 0.5210  2 O 2.03-2.06
O 0.5000 0.1767 0.2444  2 Au 2.03-2.06
O 0.5000 0.8233 0.7444  2 Au 2.03-2.06
K 0.0000 0.3269 0.1255  2 O 2.68
K 0.0000 0.6731 0.6255  2 O 2.68

The crystal system is orthorhombic. The symmetry is Pmc2_1, No. 26.



(13)
## NbSn2Au2 (PBE)

Data for NbSn2Au2 after structural relaxation.

Unit cell a=6.9211 b=6.9211 c=6.9211 alpha=144.19 beta=144.19 gamma=51.54
With the nearest neighbours (Å) after each atom.
Positions (direct):
Au 0.3962 0.3962 0.0000  1 Au 2.59, 4 Sn 2.80
Au 0.6038 0.6038 0.0000  1 Au 2.59, 4 Sn 2.80
Sn 0.2500 0.7500 0.5000  4 Au 2.80, 4 Sn 3.01
Sn 0.7500 0.2500 0.5000  4 Au 2.80, 4 Sn 3.01
Nb 0.0000 0.0000 0.0000  8 Au 3.28

The crystal system is tetragonal. The symmetry is I4/mmm, No. 139.



(14)
## SmMgTeAuSe2 (PBE)

Data for SmMgTeAuSe2 after structural relaxation.

Unit cell a=7.2171 b=7.2171 c=11.0908 alpha=90.00 beta=90.00 gamma=148.19
With the nearest neighbours (Å) after each atom.
Positions (direct):
Au 0.9800 0.0200 0.7500  2 Se 2.64, 2 Te 2.80
Au 0.0200 0.9800 0.2500  2 Se 2.64, 2 Te 2.80
Te 0.6231 0.3769 0.7500  2 Au 2.80
Te 0.3769 0.6231 0.2500  2 Au 2.80
Sm 0.5000 0.5000 0.0000  4 Se 2.95, 2 Te 3.26
Sm 0.5000 0.5000 0.5000  4 Se 2.95, 2 Te 3.26
Se 0.8530 0.1470 0.5724  1 Au 2.64, 2 Mg 2.86, 2 Sm 2.95
Se 0.1470 0.8530 0.4276  1 Au 2.64, 2 Mg 2.86, 2 Sm 2.95
Se 0.8530 0.1470 0.9276  1 Au 2.64, 2 Mg 2.86, 2 Sm 2.95
Se 0.1470 0.8530 0.0724  1 Au 2.64, 2 Mg 2.86, 2 Sm 2.95
Mg 0.6932 0.3068 0.2500  4 Se 2.86, 2 Au 3.11
Mg 0.3068 0.6932 0.7500  4 Se 2.86, 2 Au 3.11

The crystal system is orthorhombic. The symmetry is Cmcm, No. 63.



(15)
## PrYPt2 (PBE)

Data for PrYPt2 after structural relaxation.

Unit cell a=4.5819 b=7.2603 c=5.6539 alpha=90.00 beta=90.00 gamma=90.00
With the nearest neighbours (Å) after each atom.
Positions (direct):
Pt 0.0000 0.3072 0.3467  4 Y 2.91-3.04, 2 Pt 2.94, 3 Pr 3.10-3.20
Pt 0.0000 0.7802 0.1541  2 Pt 2.94, 4 Pr 2.95-3.11, 3 Y 3.00-3.02
Pt 0.5000 0.2198 0.6541  2 Pt 2.94, 4 Pr 2.95-3.11, 3 Y 3.00-3.02
Pt 0.5000 0.6928 0.8467  4 Y 2.91-3.04, 2 Pt 2.94, 3 Pr 3.10-3.20
Y 0.0000 0.4340 0.8593  7 Pt 2.91-3.04
Y 0.5000 0.5660 0.3593  7 Pt 2.91-3.04
Pr 0.5000 0.0700 0.1398  7 Pt 2.95-3.20
Pr 0.0000 0.9300 0.6398  7 Pt 2.95-3.20

The crystal system is orthorhombic. The symmetry is Pmn2_1, No. 31. The formation energy is -1.19 eV/atom.



(16)
## SmCo2Ge2 (PBE)

Data for SmCo2Ge2 after structural relaxation.

Unit cell a=4.0011 b=4.0011 c=5.8287 alpha=110.07 beta=110.07 gamma=90.00
With the nearest neighbours (Å) after each atom.
Positions (direct):
Sm 0.0000 0.0000 0.0000  8 Ge 3.12, 8 Co 3.24
Ge 0.3699 0.3699 0.7398  4 Co 2.34
Ge 0.6301 0.6301 0.2602  4 Co 2.34
Co 0.2500 0.7500 0.5000  4 Ge 2.34
Co 0.7500 0.2500 0.5000  4 Ge 2.34

The crystal system is tetragonal. The symmetry is I4/mmm, No. 139.



(17)
## TmHfCSe (PBE)

Data for TmHfCSe after structural relaxation.

Unit cell a=3.5397 b=3.5397 c=12.8224 alpha=90.00 beta=90.00 gamma=120.00
With the nearest neighbours (Å) after each atom.
Positions (direct):
C 0.0000 0.0000 0.7655  3 Hf 2.31, 3 Tm 2.49
C 0.0000 0.0000 0.2345  3 Hf 2.31, 3 Tm 2.49
Se 0.3333 0.6667 0.0000  6 Hf 2.81
Se 0.6667 0.3333 0.5000  6 Tm 2.85
Hf 0.6667 0.3333 0.1500  3 C 2.31
Hf 0.6667 0.3333 0.8500  3 C 2.31
Tm 0.3333 0.6667 0.3455  3 C 2.49
Tm 0.3333 0.6667 0.6545  3 C 2.49

The crystal system is hexagonal. The symmetry is P-6m2, No. 187.



(18)
## LaSmSn2Au4 (PBE)

Data for LaSmSn2Au4 after structural relaxation.

Unit cell a=4.7811 b=4.7811 c=9.6376 alpha=90.00 beta=90.00 gamma=120.00
With the nearest neighbours (Å) after each atom.
Positions (direct):
Sm 0.3333 0.6667 0.5000  8 Au 3.11-3.33
Au 0.0000 0.0000 0.3508  1 Au 2.88, 3 Sn 2.92, 3 Sm 3.11
Au 0.0000 0.0000 0.6492  1 Au 2.88, 3 Sn 2.92, 3 Sm 3.11
Au 0.3333 0.6667 0.8459  3 Sn 2.92, 1 Au 2.97, 3 La 3.13
Au 0.3333 0.6667 0.1541  3 Sn 2.92, 1 Au 2.97, 3 La 3.13
Sn 0.6667 0.3333 0.2516  6 Au 2.92
Sn 0.6667 0.3333 0.7484  6 Au 2.92
La 0.0000 0.0000 0.0000  8 Au 3.13-3.38

The crystal system is hexagonal. The symmetry is P-6m2, No. 187.



(19)
## Ni3Bi2S2 (PBE)

Data for Ni3Bi2S2 after structural relaxation.

Unit cell a=6.8758 b=6.8758 c=7.0435 alpha=109.40 beta=110.06 gamma=107.95
With the nearest neighbours (Å) after each atom.
Positions (direct):
S 0.0426 0.2889 0.7914  3 Ni 2.18-2.19
S 0.5025 0.7489 0.7914  3 Ni 2.18-2.19
S 0.9574 0.7111 0.2086  3 Ni 2.18-2.19
S 0.4975 0.2511 0.2086  3 Ni 2.18-2.19
Ni 0.2378 0.7378 0.5000  2 S 2.19
Ni 0.5000 0.5000 0.5000  2 S 2.18
Ni 0.0000 0.0000 0.5000  2 S 2.18
Ni 0.7622 0.2622 0.5000  2 S 2.19
Ni 0.7641 0.0135 0.7776  2 S 2.19
Ni 0.2359 0.9865 0.2224  2 S 2.19
Bi 0.0005 0.2525 0.2530  6 Ni 2.74-2.84
Bi 0.9995 0.7475 0.7470  6 Ni 2.74-2.84
Bi 0.4944 0.2372 0.7316  6 Ni 2.75-2.94
Bi 0.5056 0.7628 0.2684  6 Ni 2.75-2.94

The crystal system is monoclinic. The symmetry is C2/m, No. 12.



(20)
## DyYAl2Ni4 (PBE)

Data for DyYAl2Ni4 after structural relaxation.

Unit cell a=4.1380 b=4.1380 c=8.9331 alpha=90.00 beta=90.00 gamma=120.00
With the nearest neighbours (Å) after each atom.
Positions (direct):
Dy 0.0000 0.0000 0.0000  8 Ni 2.77-2.91
Ni 0.6667 0.3333 0.1861  3 Al 2.46, 3 Ni 2.63
Ni 0.6667 0.3333 0.8139  3 Al 2.46, 3 Ni 2.63
Ni 0.0000 0.0000 0.6901  3 Al 2.45, 3 Ni 2.63
Ni 0.0000 0.0000 0.3099  3 Al 2.45, 3 Ni 2.63
Al 0.3333 0.6667 0.2497  6 Ni 2.45-2.46
Al 0.3333 0.6667 0.7503  6 Ni 2.45-2.46
Y 0.6667 0.3333 0.5000  8 Ni 2.80-2.93

The crystal system is hexagonal. The symmetry is P-6m2, No. 187.



| no. | DFT total energy (eV/cell) | mass density (g cm⁻³) |
| --- | --- | --- |
| 1 | -20.39 | 6.6 |
| 2 | -7.11 | 5.7 |
| 3 | -25.25 | 13.0 |
| 4 | -32.01 | 7.4 |
| 5 | -77.62 | 14.8 |
| 6 | -28.92 | 6.9 |
| 7 | -30.25 | 13.6 |
| 8 | -58.34 | 5.9 |
| 9 | -51.39 | 5.7 |
| 10 | -20.39 | 8.8 |
| 11 | -65.96 | 11.0 |
| 12 | -29.42 | 5.3 |
| 13 | -22.42 | 10.7 |
| 14 | -51.16 | 7.2 |
| 15 | -56.20 | 10.9 |
| 16 | -31.20 | 8.4 |
| 17 | -63.53 | 10.5 |
| 18 | -36.48 | 11.4 |
| 19 | -70.37 | 8.4 |
| 20 | -45.53 | 6.8 |